Entry 1:
Compound: TaMn2Pb
Source: the Alexandria database
Functional: meta-GGA SCAN
Structure: PBEsol geometry

Computed properties:
**Spin magnetization**: 5.50 μB/f.u.
**E**: -44.402 eV/atom
**Calculated volume**: 65.1 Å³/cell
**ΔE_f**: 317 meV per atom

Cell lengths 4.5149, 4.5149, 4.5149 Å; angles 60.00, 60.00, 60.00 degrees
Last column: nearest neighbours and their distance in Å.
Atoms (fractional coordinates):
Mn (0.0000, 0.0000, 0.0000)  4 Ta 2.76, 4 Mn 2.76
Pb (0.5000, 0.5000, 0.5000)  4 Ta 2.76, 4 Mn 2.76
Mn (0.7500, 0.7500, 0.7500)  4 Mn 2.76, 4 Pb 2.76
Ta (0.2500, 0.2500, 0.2500)  4 Pb 2.76, 4 Mn 2.76

Entry 2:
Compound: BaTlAg2
Source: the Alexandria database
Functional: meta-GGA SCAN
Structure: PBEsol geometry

Computed properties:
**Spin magnetization**: 0.00 μB/f.u.
**E**: -43.760 eV/atom
**Calculated volume**: 104.0 Å³/cell
**Excess energy over the best structure of this formula in the dataset**: 0.138 eV per atom
**ΔE_f**: -100 meV per atom

Cell lengths 5.2792, 5.2792, 5.2792 Å; angles 60.00, 60.00, 60.00 degrees
Last column: nearest neighbours and their distance in Å.
Atoms (fractional coordinates):
Tl (0.5000, 0.5000, 0.5000)  8 Ag 3.23
Ba (0.0000, 0.0000, 0.0000)  8 Ag 3.23
Ag (0.7500, 0.7500, 0.7500)  4 Tl 3.23, 4 Ba 3.23
Ag (0.2500, 0.2500, 0.2500)  4 Tl 3.23, 4 Ba 3.23

> The lowest calculated volume belongs to which entry?

TaMn2Pb